Record 1
Entry from Alexandria: Th2Ni9Au after structural relaxation (PBE).

Cell lengths 4.9797, 4.9797, 8.6445 Å; angles 73.26, 73.26, 60.00 degrees
Each line ends with the local moment (μB).
Fractional coordinates of all 12 atoms:
Th1 0.8694 0.8694 0.3917  -0.04
Th2 0.1306 0.1306 0.6083  -0.04
Ni1 0.6670 0.6670 0.9989  0.37
Ni2 0.3330 0.3330 0.0011  0.37
Ni3 0.5000 0.5000 0.5000  0.03
Ni4 0.4179 0.4179 0.2438  0.10
Ni5 0.9203 0.4179 0.2438  0.10
Ni6 0.4179 0.9203 0.2438  0.10
Ni7 0.5821 0.5821 0.7562  0.10
Ni8 0.5821 0.0797 0.7562  0.10
Ni9 0.0797 0.5821 0.7562  0.10
Au1 0.0000 0.0000 0.0000  0.01

Summary:
- energy of formation (eV/atom) = -0.2306
- SG = R-3m (166)
- magnetic moment (μB/f.u.) = 1.17
- DFT total energy (eV/atom) = -6.08

***

Record 2
Entry from Alexandria: Sm4SiHgN after structural relaxation (PBE).

Cell lengths 6.7989, 6.7956, 8.4445 Å; angles 90.00, 113.74, 90.00 degrees
Fractional coordinates of all 14 atoms:
Sm1 0.9233 0.2500 0.8467
Sm2 0.4180 0.7500 0.8359
Sm3 0.0767 0.7500 0.1533
Sm4 0.5820 0.2500 0.1641
Sm5 0.5000 0.5000 0.5000
Sm6 0.0000 0.0000 0.5000
Sm7 0.5000 0.0000 0.5000
Sm8 0.0000 0.5000 0.5000
Si1 0.1178 0.2500 0.2356
Si2 0.8822 0.7500 0.7644
Hg1 0.6138 0.7500 0.2276
Hg2 0.3862 0.2500 0.7724
N1 0.2512 0.7500 0.5023
N2 0.7488 0.2500 0.4977

Summary:
- SG = Cmcm (63)
- magnetic moment (μB/f.u.) = 0.00
- DFT total energy (eV/atom) = -5.43

***

Record 3
Entry from Alexandria: UV2Tc after structural relaxation (PBE).

Cell lengths 4.7900, 3.7007, 3.7007 Å; angles 90.00, 90.00, 90.00 degrees
Fractional coordinates of all 4 atoms:
U1 0.5000 0.5000 0.5000
Tc1 0.5000 0.0000 0.0000
V1 0.0000 0.0000 0.5000
V2 0.0000 0.5000 0.0000

Summary:
- energy relative to the lowest polymorph listed for this composition (kJ/mol of atoms) = 8.6
- energy of formation (eV/atom) = 0.1482
- SG = P4/mmm (123)
- magnetic moment (μB/f.u.) = 0.00
- DFT total energy (eV/atom) = -9.82

***

Record 4
Entry from Alexandria: Ce2SiCl after structural relaxation (PBE).

Cell lengths 5.8205, 4.2266, 8.1417 Å; angles 90.00, 90.03, 90.00 degrees
Each line ends with the local moment (μB).
Fractional coordinates of all 8 atoms:
Ce1 0.7006 0.7333 0.2347  -0.76
Ce2 0.7011 0.7334 0.7269  -0.43
Ce3 0.2009 0.2334 0.4890  -0.43
Ce4 0.2013 0.2333 0.9813  -0.76
Si1 0.2011 0.7334 0.7397  0.02
Si2 0.7009 0.2333 0.4763  0.02
Cl1 0.2006 0.7333 0.2369  0.01
Cl2 0.7013 0.2333 0.9791  0.01

Summary:
- energy relative to the lowest polymorph listed for this composition (kJ/mol of atoms) = 3.3
- SG = Pmmn (59)
- magnetic moment (μB/f.u.) = 1.40
- DFT total energy (eV/atom) = -5.85

***

Record 5
Entry from Alexandria: Cd4AsBr after structural relaxation (PBE).

Cell lengths 5.8973, 5.8973, 5.8973 Å; angles 60.00, 60.00, 60.00 degrees
Fractional coordinates of all 6 atoms:
Cd1 0.8736 0.3754 0.3754
Cd2 0.3754 0.3754 0.8736
Cd3 0.3754 0.8736 0.3754
Cd4 0.3754 0.3754 0.3754
As1 0.7500 0.7500 0.7500
Br1 0.0000 0.0000 0.0000

Summary:
- SG = F-43m (216)
- magnetic moment (μB/f.u.) = 0.00
- DFT total energy (eV/atom) = -1.52

***

Record 6
Entry from Alexandria: AcLa2Tb2Tm2 after structural relaxation (PBE).

Cell lengths 5.2015, 6.3678, 8.1073 Å; angles 97.71, 90.00, 114.11 degrees
Fractional coordinates of all 7 atoms:
Ac1 0.0000 0.0000 0.0000
La1 0.7148 0.4296 0.1526
La2 0.2852 0.5704 0.8474
Tb1 0.5747 0.1494 0.7030
Tb2 0.4253 0.8506 0.2970
Tm1 0.1412 0.2825 0.4324
Tm2 0.8588 0.7175 0.5676

Summary:
- energy of formation (eV/atom) = 0.0486
- SG = C2/m (12)
- magnetic moment (μB/f.u.) = 0.00
- DFT total energy (eV/atom) = -4.55